{
  "formula": "HfGeRh",
  "functional": "GGA-PBEsol",
  "state": "optimized geometry",
  "lattice_angstrom": [[6.529, 0.000, 0.000], [-3.264, 5.654, 0.000], [0.000, 0.000, 3.888]],
  "species": ["Hf", "Hf", "Hf", "Ge", "Ge", "Ge", "Rh", "Rh", "Rh"],
  "fractional_positions": [[0.000, 0.425, 0.000], [0.425, 0.000, 0.000], [0.575, 0.575, 0.000], [0.000, 0.000, 0.000], [0.333, 0.667, 0.500], [0.667, 0.333, 0.500], [0.000, 0.753, 0.500], [0.247, 0.247, 0.500], [0.753, 0.000, 0.500]],
  "magnetic_moment_mub_per_cell": 0.0,
  "energy_ev_per_cell": -79.1
}



{
  "formula": "CrWSe",
  "functional": "GGA-PBEsol",
  "state": "optimized geometry",
  "lattice_angstrom": [[-1.476, 1.986, 3.672], [1.476, -1.986, 3.672], [1.476, 1.986, -3.672]],
  "species": ["Cr", "W", "Se"],
  "fractional_positions": [[0.000, 0.000, 0.000], [0.660, 0.660, 0.000], [0.325, 0.325, 0.000]],
  "magnetic_moment_mub_per_cell": 0.0,
  "e_form_raw_ev_per_fu": 1.439
}



{
  "formula": "Li2MnP2O7",
  "functional": "GGA-PBEsol",
  "state": "optimized geometry",
  "lattice_angstrom": [[4.405, -2.544, 0.000], [4.405, 2.544, 0.000], [-2.920, 0.000, 13.163]],
  "species": ["Li", "Li", "Li", "Li", "Mn", "Mn", "P", "P", "P", "P", "O", "O", "O", "O", "O", "O", "O", "O", "O", "O", "O", "O", "O", "O"],
  "fractional_positions": [[0.132, 0.633, 0.898], [0.367, 0.868, 0.602], [0.633, 0.132, 0.398], [0.868, 0.367, 0.102], [0.000, 0.500, 0.500], [0.500, 0.000, 0.000], [0.210, 0.710, 0.129], [0.290, 0.790, 0.371], [0.710, 0.210, 0.629], [0.790, 0.290, 0.871], [0.022, 0.785, 0.404], [0.097, 0.285, 0.904], [0.215, 0.978, 0.096], [0.249, 0.751, 0.250], [0.285, 0.097, 0.404], [0.402, 0.479, 0.597], [0.479, 0.402, 0.097], [0.521, 0.598, 0.903], [0.598, 0.521, 0.403], [0.715, 0.903, 0.596], [0.751, 0.249, 0.750], [0.785, 0.022, 0.904], [0.903, 0.715, 0.096], [0.978, 0.215, 0.596]],
  "magnetic_moment_mub_per_cell": 10.0,
  "e_form_raw_ev_per_fu": -25.802
}



{
  "formula": "Li2InRh",
  "functional": "GGA-PBEsol",
  "state": "optimized geometry",
  "lattice_angstrom": [[3.180, 0.000, 0.000], [0.000, 3.180, 0.000], [0.000, 0.000, 6.167]],
  "species": ["Li", "Li", "In", "Rh"],
  "fractional_positions": [[0.000, 0.000, 0.000], [0.500, 0.500, 0.250], [0.500, 0.500, 0.707], [0.000, 0.000, 0.463]],
  "magnetic_moment_mub_per_cell": 0.0,
  "energy_ev_per_cell": -16.0
}



{
  "formula": "SiCBr2",
  "functional": "GGA-PBEsol",
  "state": "optimized geometry",
  "lattice_angstrom": [[-2.966, 2.966, 5.503], [2.966, -2.966, 5.503], [2.966, 2.966, -5.503]],
  "species": ["Si", "Si", "C", "C", "Br", "Br", "Br", "Br"],
  "fractional_positions": [[0.000, 0.000, 0.000], [0.750, 0.250, 0.500], [0.250, 0.750, 0.500], [0.500, 0.500, 0.000], [0.246, 0.625, 0.121], [0.375, 0.496, 0.621], [0.504, 0.125, 0.879], [0.875, 0.754, 0.379]],
  "magnetic_moment_mub_per_cell": 0.0,
  "e_form_raw_ev_per_fu": 7.083
}



{
  "formula": "CaMoIr3",
  "functional": "GGA-PBEsol",
  "state": "optimized geometry",
  "lattice_angstrom": [[4.574, 0.000, 0.000], [0.000, 4.574, 0.000], [0.000, 0.000, 4.574]],
  "species": ["Ca", "Mo", "Ir", "Ir", "Ir"],
  "fractional_positions": [[0.000, 0.000, 0.000], [0.500, 0.500, 0.500], [0.000, 0.000, 0.500], [0.000, 0.500, 0.000], [0.500, 0.000, 0.000]],
  "magnetic_moment_mub_per_cell": 1.5,
  "energy_ev_per_cell": -30.2
}



{
  "formula": "LaPS4",
  "functional": "GGA-PBEsol",
  "state": "optimized geometry",
  "lattice_angstrom": [[-5.470, 5.470, 9.616], [5.470, -5.470, 9.616], [5.470, 5.470, -9.616]],
  "species": ["La", "La", "La", "La", "La", "La", "La", "La", "P", "P", "P", "P", "P", "P", "P", "P", "S", "S", "S", "S", "S", "S", "S", "S", "S", "S", "S", "S", "S", "S", "S", "S", "S", "S", "S", "S", "S", "S", "S", "S", "S", "S", "S", "S", "S", "S", "S", "S"],
  "fractional_positions": [[0.125, 0.375, 0.750], [0.125, 0.875, 0.250], [0.375, 0.125, 0.250], [0.375, 0.625, 0.750], [0.625, 0.375, 0.250], [0.625, 0.875, 0.750], [0.875, 0.125, 0.750], [0.875, 0.625, 0.250], [0.213, 0.250, 0.463], [0.250, 0.287, 0.037], [0.250, 0.787, 0.537], [0.287, 0.750, 0.037], [0.713, 0.250, 0.963], [0.750, 0.213, 0.463], [0.750, 0.713, 0.963], [0.787, 0.750, 0.537], [0.092, 0.887, 0.482], [0.093, 0.664, 0.931], [0.095, 0.390, 0.982], [0.110, 0.405, 0.518], [0.113, 0.095, 0.205], [0.162, 0.093, 0.929], [0.164, 0.593, 0.431], [0.233, 0.162, 0.569], [0.267, 0.836, 0.929], [0.336, 0.767, 0.429], [0.338, 0.267, 0.931], [0.387, 0.592, 0.982], [0.390, 0.908, 0.295], [0.405, 0.387, 0.295], [0.407, 0.338, 0.571], [0.408, 0.890, 0.795], [0.592, 0.110, 0.205], [0.593, 0.662, 0.429], [0.595, 0.613, 0.705], [0.610, 0.092, 0.705], [0.613, 0.408, 0.018], [0.662, 0.733, 0.069], [0.664, 0.233, 0.571], [0.733, 0.164, 0.071], [0.767, 0.838, 0.431], [0.836, 0.407, 0.569], [0.838, 0.907, 0.071], [0.887, 0.905, 0.795], [0.890, 0.595, 0.482], [0.905, 0.610, 0.018], [0.907, 0.336, 0.069], [0.908, 0.113, 0.518]],
  "magnetic_moment_mub_per_cell": 0.0,
  "e_form_raw_ev_per_fu": -6.924
}



{
  "formula": "LaCr2Se",
  "functional": "GGA-PBEsol",
  "state": "optimized geometry",
  "lattice_angstrom": [[2.005, 1.158, 5.370], [-2.005, 1.158, 5.370], [0.000, -2.315, 5.370]],
  "species": ["La", "Cr", "Cr", "Se"],
  "fractional_positions": [[0.000, 0.000, 0.000], [0.201, 0.201, 0.201], [0.508, 0.508, 0.508], [0.792, 0.792, 0.792]],
  "magnetic_moment_mub_per_cell": 0.7,
  "e_form_raw_ev_per_fu": -1.075
}



{
  "formula": "OsPb",
  "functional": "GGA-PBEsol",
  "state": "optimized geometry",
  "lattice_angstrom": [[-1.499, 2.376, 5.594], [1.499, -2.376, 5.594], [1.499, 2.376, -5.594]],
  "species": ["Os", "Os", "Pb", "Pb"],
  "fractional_positions": [[0.409, 0.159, 0.250], [0.591, 0.841, 0.750], [0.152, 0.402, 0.750], [0.848, 0.598, 0.250]],
  "magnetic_moment_mub_per_cell": 0.0,
  "energy_ev_per_cell": -28.5
}



{
  "formula": "KAgCl2",
  "functional": "GGA-PBEsol",
  "state": "optimized geometry",
  "lattice_angstrom": [[3.852, 0.000, 0.000], [0.000, 3.737, 0.000], [-0.704, 0.000, 7.033]],
  "species": ["K", "Ag", "Cl", "Cl"],
  "fractional_positions": [[0.000, 0.000, 0.000], [0.500, 0.000, 0.500], [0.451, 0.500, 0.750], [0.549, 0.500, 0.250]],
  "magnetic_moment_mub_per_cell": 0.0,
  "e_form_raw_ev_per_fu": -4.399
}



{
  "formula": "LiSbPb2",
  "functional": "GGA-PBEsol",
  "state": "optimized geometry",
  "lattice_angstrom": [[3.441, 0.000, 0.000], [0.000, 4.305, 0.000], [0.000, 0.000, 7.046]],
  "species": ["Li", "Sb", "Pb", "Pb"],
  "fractional_positions": [[0.000, 0.000, 0.000], [0.500, 0.500, 0.818], [0.000, 0.000, 0.539], [0.500, 0.500, 0.255]],
  "magnetic_moment_mub_per_cell": 0.0,
  "e_form_raw_ev_per_fu": -0.558
}



{
  "formula": "AgP2",
  "functional": "GGA-PBEsol",
  "state": "optimized geometry",
  "lattice_angstrom": [[4.160, -1.598, 0.000], [4.160, 1.598, 0.000], [-0.176, 0.000, 7.575]],
  "species": ["Ag", "Ag", "P", "P", "P", "P"],
  "fractional_positions": [[0.144, 0.144, 0.389], [0.856, 0.856, 0.611], [0.121, 0.121, 0.935], [0.417, 0.417, 0.269], [0.583, 0.583, 0.731], [0.879, 0.879, 0.065]],
  "magnetic_moment_mub_per_cell": 0.0,
  "energy_ev_per_cell": -29.2
}



{
  "formula": "TaCrCo2",
  "functional": "GGA-PBEsol",
  "state": "optimized geometry",
  "lattice_angstrom": [[2.992, 0.000, 0.000], [0.000, 2.992, 0.000], [0.000, 0.000, 5.473]],
  "species": ["Ta", "Cr", "Co", "Co"],
  "fractional_positions": [[0.000, 0.000, 0.000], [0.500, 0.500, 0.693], [0.000, 0.000, 0.501], [0.500, 0.500, 0.250]],
  "magnetic_moment_mub_per_cell": 0.1,
  "energy_ev_per_cell": -38.1
}



{
  "formula": "BeAl2Tc",
  "functional": "GGA-PBEsol",
  "state": "optimized geometry",
  "lattice_angstrom": [[-1.796, 1.796, 3.981], [1.796, -1.796, 3.981], [1.796, 1.796, -3.981]],
  "species": ["Be", "Al", "Al", "Tc"],
  "fractional_positions": [[0.000, 0.000, 0.000], [0.250, 0.750, 0.500], [0.500, 0.500, 0.000], [0.750, 0.250, 0.500]],
  "magnetic_moment_mub_per_cell": 0.7,
  "energy_ev_per_cell": -24.6
}



{
  "formula": "Ba2Tl2Cd",
  "functional": "GGA-PBEsol",
  "state": "optimized geometry",
  "lattice_angstrom": [[-3.352, 3.352, 4.423], [3.352, -3.352, 4.423], [3.352, 3.352, -4.423]],
  "species": ["Ba", "Ba", "Tl", "Tl", "Cd"],
  "fractional_positions": [[0.250, 0.750, 0.500], [0.750, 0.250, 0.500], [0.159, 0.159, 0.000], [0.841, 0.841, 0.000], [0.500, 0.500, 0.000]],
  "magnetic_moment_mub_per_cell": 0.0,
  "energy_ev_per_cell": -11.3
}



{
  "formula": "LiI",
  "functional": "GGA-PBEsol",
  "state": "optimized geometry",
  "lattice_angstrom": [[0.000, 2.949, 2.949], [2.949, 0.000, 2.949], [2.949, 2.949, 0.000]],
  "species": ["Li", "I"],
  "fractional_positions": [[0.000, 0.000, 0.000], [0.500, 0.500, 0.500]],
  "magnetic_moment_mub_per_cell": 0.0,
  "e_form_raw_ev_per_fu": -2.423
}



{
  "formula": "Ta8CoSe8",
  "functional": "GGA-PBEsol",
  "state": "optimized geometry",
  "lattice_angstrom": [[22.397, 0.000, 0.000], [0.000, 3.402, 0.000], [0.000, 0.000, 16.822]],
  "species": ["Ta", "Ta", "Ta", "Ta", "Ta", "Ta", "Ta", "Ta", "Ta", "Ta", "Ta", "Ta", "Ta", "Ta", "Ta", "Ta", "Ta", "Ta", "Ta", "Ta", "Ta", "Ta", "Ta", "Ta", "Ta", "Ta", "Ta", "Ta", "Ta", "Ta", "Ta", "Ta", "Co", "Co", "Co", "Co", "Se", "Se", "Se", "Se", "Se", "Se", "Se", "Se", "Se", "Se", "Se", "Se", "Se", "Se", "Se", "Se", "Se", "Se", "Se", "Se", "Se", "Se", "Se", "Se", "Se", "Se", "Se", "Se", "Se", "Se", "Se", "Se"],
  "fractional_positions": [[0.017, 0.250, 0.165], [0.045, 0.250, 0.959], [0.054, 0.750, 0.304], [0.058, 0.750, 0.682], [0.123, 0.750, 0.842], [0.167, 0.250, 0.707], [0.184, 0.750, 0.562], [0.246, 0.250, 0.448], [0.254, 0.750, 0.948], [0.316, 0.250, 0.062], [0.333, 0.750, 0.207], [0.377, 0.250, 0.342], [0.442, 0.250, 0.182], [0.446, 0.250, 0.804], [0.455, 0.750, 0.459], [0.483, 0.750, 0.665], [0.517, 0.250, 0.335], [0.545, 0.250, 0.541], [0.554, 0.750, 0.196], [0.558, 0.750, 0.818], [0.623, 0.750, 0.658], [0.667, 0.250, 0.793], [0.684, 0.750, 0.938], [0.746, 0.250, 0.052], [0.754, 0.750, 0.552], [0.816, 0.250, 0.438], [0.833, 0.750, 0.293], [0.877, 0.250, 0.158], [0.942, 0.250, 0.318], [0.946, 0.250, 0.696], [0.955, 0.750, 0.041], [0.983, 0.750, 0.835], [0.055, 0.250, 0.792], [0.445, 0.750, 0.292], [0.555, 0.250, 0.708], [0.945, 0.750, 0.208], [0.031, 0.250, 0.414], [0.075, 0.750, 0.070], [0.097, 0.250, 0.575], [0.122, 0.250, 0.232], [0.163, 0.250, 0.952], [0.164, 0.750, 0.409], [0.232, 0.750, 0.788], [0.236, 0.750, 0.105], [0.264, 0.250, 0.605], [0.268, 0.250, 0.288], [0.336, 0.250, 0.909], [0.337, 0.750, 0.452], [0.378, 0.750, 0.732], [0.403, 0.750, 0.075], [0.425, 0.250, 0.570], [0.469, 0.750, 0.914], [0.531, 0.250, 0.086], [0.575, 0.750, 0.430], [0.597, 0.250, 0.925], [0.622, 0.250, 0.268], [0.663, 0.250, 0.548], [0.664, 0.750, 0.091], [0.732, 0.750, 0.712], [0.736, 0.750, 0.395], [0.764, 0.250, 0.895], [0.768, 0.250, 0.212], [0.836, 0.250, 0.591], [0.837, 0.750, 0.048], [0.878, 0.750, 0.768], [0.903, 0.750, 0.425], [0.925, 0.250, 0.930], [0.969, 0.750, 0.586]],
  "magnetic_moment_mub_per_cell": 0.0,
  "e_form_raw_ev_per_fu": -11.900
}



{
  "formula": "Fe2TeIr",
  "functional": "GGA-PBEsol",
  "state": "optimized geometry",
  "lattice_angstrom": [[3.077, 0.000, 0.000], [0.000, 3.077, 0.000], [0.000, 0.000, 6.176]],
  "species": ["Fe", "Fe", "Te", "Ir"],
  "fractional_positions": [[0.000, 0.000, 0.000], [0.500, 0.500, 0.212], [0.500, 0.500, 0.749], [0.000, 0.000, 0.440]],
  "magnetic_moment_mub_per_cell": 5.2,
  "e_form_raw_ev_per_fu": 1.265
}



{
  "formula": "Cr21Mo2C6",
  "functional": "GGA-PBEsol",
  "state": "optimized geometry",
  "lattice_angstrom": [[0.000, 5.257, 5.257], [5.257, 0.000, 5.257], [5.257, 5.257, 0.000]],
  "species": ["Cr", "Cr", "Cr", "Cr", "Cr", "Cr", "Cr", "Cr", "Cr", "Cr", "Cr", "Cr", "Cr", "Cr", "Cr", "Cr", "Cr", "Cr", "Cr", "Cr", "Cr", "Mo", "Mo", "C", "C", "C", "C", "C", "C"],
  "fractional_positions": [[0.000, 0.000, 0.000], [0.000, 0.000, 0.338], [0.000, 0.000, 0.662], [0.000, 0.338, 0.000], [0.000, 0.338, 0.662], [0.000, 0.662, 0.000], [0.000, 0.662, 0.338], [0.152, 0.616, 0.616], [0.338, 0.000, 0.000], [0.338, 0.000, 0.662], [0.338, 0.662, 0.000], [0.384, 0.384, 0.384], [0.384, 0.384, 0.848], [0.384, 0.848, 0.384], [0.616, 0.152, 0.616], [0.616, 0.616, 0.152], [0.616, 0.616, 0.616], [0.662, 0.000, 0.000], [0.662, 0.000, 0.338], [0.662, 0.338, 0.000], [0.848, 0.384, 0.384], [0.250, 0.250, 0.250], [0.750, 0.750, 0.750], [0.274, 0.274, 0.726], [0.274, 0.726, 0.274], [0.274, 0.726, 0.726], [0.726, 0.274, 0.274], [0.726, 0.274, 0.726], [0.726, 0.726, 0.274]],
  "magnetic_moment_mub_per_cell": 0.0,
  "energy_ev_per_cell": -300.9
}



{
  "formula": "HfCo2TcS",
  "functional": "GGA-PBEsol",
  "state": "optimized geometry",
  "lattice_angstrom": [[4.415, 0.000, 0.000], [0.000, 4.415, 0.000], [0.000, 0.000, 4.662]],
  "species": ["Hf", "Co", "Co", "Tc", "S"],
  "fractional_positions": [[0.000, 0.000, 0.000], [0.000, 0.500, 0.000], [0.500, 0.000, 0.000], [0.500, 0.500, 0.500], [0.000, 0.000, 0.500]],
  "magnetic_moment_mub_per_cell": 4.8,
  "e_form_raw_ev_per_fu": 7.130
}